[1]
This record from the Alexandria database describes a geometry-optimized ZnIn2Hg structure. The functional is PBE-GGA.

## Properties
Electronic total energy, eV per cell: -6.70
ΔH_f (0 K), meV per atom: 88
DOS at the Fermi energy, states/eV/f.u.: 0.9

Cell lengths 3.3213, 4.7994, 6.0510 Å; angles 90.00, 90.00, 90.00 degrees
Closest atoms and distances in Å follow each position.
Element x y z (fractional)
1 Zn 0.0000 0.0000 0.0000  6 In 3.03-3.22, 4 Hg 3.32, 2 Zn 3.32
2 In 0.0000 0.0000 0.5000  2 Zn 3.03, 4 Hg 3.26, 6 In 3.32-3.36
3 In 0.5000 0.5000 0.7756  2 Hg 2.93-3.12, 4 Zn 3.22
4 Hg 0.5000 0.5000 0.2606  6 In 2.93-3.26



[2]
This record from the Alexandria database describes a geometry-optimized ZnInHg2 structure. The functional is PBE-GGA.

## Properties
Electronic total energy, eV per cell: -4.36
ΔH_f (0 K), meV per atom: 64
DOS at the Fermi energy, states/eV/f.u.: 1.5

Cell lengths 6.9576, 6.9576, 6.9576 Å; angles 152.45, 141.28, 48.18 degrees
Closest atoms and distances in Å follow each position.
Element x y z (fractional)
1 Zn 0.0000 0.0000 0.0000  6 Hg 2.84-2.92, 2 In 3.08
2 In 0.2040 0.7040 0.5000  2 Zn 3.08, 6 Hg 3.15-3.35, 2 In 3.31
3 Hg 0.5129 0.5129 0.0000  4 Zn 2.84
4 Hg 0.8105 0.3105 0.5000  2 Zn 2.92, 4 In 3.15



[3]
This record from the Alexandria database describes a geometry-optimized ZnIn6Hg2 structure. The functional is PBE-GGA.

## Properties
Electronic total energy, eV per cell: -35.69
ΔH_f (0 K), meV per atom: 51
DOS at the Fermi energy, states/eV/f.u.: 3.4

Cell lengths 6.5074, 7.5517, 10.8100 Å; angles 90.00, 116.91, 90.00 degrees
Closest atoms and distances in Å follow each position.
Element x y z (fractional)
1 Zn 0.0000 0.0000 0.0000  6 In 2.86-2.96, 2 Hg 2.88
2 Zn 0.0000 0.5000 0.5000  6 In 2.86-2.96, 2 Hg 2.88
3 In 0.1730 0.1536 0.4961  1 Zn 2.86, 2 Hg 3.04-3.13, 2 In 3.14-3.19
4 In 0.1730 0.3464 0.9961  1 Zn 2.86, 2 Hg 3.04-3.13, 2 In 3.14-3.19
5 In 0.3422 0.7377 0.4755  1 Zn 2.96, 2 Hg 3.12-3.20, 2 In 3.14-3.20
6 In 0.3422 0.7623 0.9755  1 Zn 2.96, 2 Hg 3.12-3.20, 2 In 3.14-3.20
7 In 0.4385 0.0428 0.2412  1 Zn 2.88, 2 In 3.19-3.20, 1 Hg 3.22
8 In 0.4385 0.4572 0.7412  1 Zn 2.88, 2 In 3.19-3.20, 1 Hg 3.22
9 In 0.5615 0.5428 0.2588  1 Zn 2.88, 2 In 3.19-3.20, 1 Hg 3.22
10 In 0.5615 0.9572 0.7588  1 Zn 2.88, 2 In 3.19-3.20, 1 Hg 3.22
11 In 0.6578 0.2377 0.0245  1 Zn 2.96, 2 Hg 3.12-3.20, 2 In 3.14-3.20
12 In 0.6578 0.2623 0.5245  1 Zn 2.96, 2 Hg 3.12-3.20, 2 In 3.14-3.20
13 In 0.8270 0.6536 0.0039  1 Zn 2.86, 2 Hg 3.04-3.13, 2 In 3.14-3.19
14 In 0.8270 0.8464 0.5039  1 Zn 2.86, 2 Hg 3.04-3.13, 2 In 3.14-3.19
15 Hg 0.0873 0.0656 0.7654  1 Zn 2.88, 5 In 3.04-3.22
16 Hg 0.0873 0.4344 0.2654  1 Zn 2.88, 5 In 3.04-3.22
17 Hg 0.9127 0.5656 0.7346  1 Zn 2.88, 5 In 3.04-3.22
18 Hg 0.9127 0.9344 0.2346  1 Zn 2.88, 5 In 3.04-3.22



[4]
This record from the Alexandria database describes a geometry-optimized ZnIn2Hg structure. The functional is PBE-GGA.

## Properties
Electronic total energy, eV per cell: -6.71
ΔH_f (0 K), meV per atom: 85
DOS at the Fermi energy, states/eV/f.u.: 0.9

Cell lengths 3.6957, 4.7555, 5.8088 Å; angles 90.00, 104.56, 90.00 degrees
Closest atoms and distances in Å follow each position.
Element x y z (fractional)
1 Zn 0.0000 0.0000 0.0000  4 In 2.91, 2 Hg 3.03
2 In 0.1889 0.5000 0.7658  2 Zn 2.91, 2 In 3.05-3.09, 2 Hg 3.20
3 In 0.8111 0.5000 0.2342  2 Zn 2.91, 2 In 3.05-3.09, 2 Hg 3.20
4 Hg 0.5000 0.0000 0.5000  2 Zn 3.03, 4 In 3.20



[5]
This record from the Alexandria database describes a geometry-optimized ZnInHg5 structure. The functional is PBE-GGA.

## Properties
Electronic total energy, eV per cell: -10.30
ΔH_f (0 K), meV per atom: 53
DOS at the Fermi energy, states/eV/f.u.: 2.4

Cell lengths 6.1529, 6.1529, 10.1686 Å; angles 100.19, 100.19, 85.12 degrees
Closest atoms and distances in Å follow each position.
Element x y z (fractional)
1 Zn 0.0000 0.0000 0.0000  6 Hg 2.72-2.90
2 Zn 0.0000 0.0000 0.5000  6 Hg 2.72-2.90
3 In 0.4767 0.5233 0.7500  9 Hg 3.01-3.37
4 In 0.5233 0.4767 0.2500  9 Hg 3.01-3.37
5 Hg 0.0586 0.5978 0.3333  1 Zn 2.78
6 Hg 0.1155 0.8845 0.7500  2 Zn 2.72, 1 In 3.01
7 Hg 0.2226 0.3829 0.9732  1 Zn 2.90, 2 In 3.07-3.24, 1 Hg 3.07
8 Hg 0.3829 0.2226 0.4732  1 Zn 2.90, 2 In 3.07-3.24, 1 Hg 3.07
9 Hg 0.4022 0.9414 0.1667  1 Zn 2.78
10 Hg 0.5978 0.0586 0.8333  1 Zn 2.78
11 Hg 0.6171 0.7774 0.5268  1 Zn 2.90, 2 In 3.07-3.24, 1 Hg 3.07
12 Hg 0.7774 0.6171 0.0268  1 Zn 2.90, 2 In 3.07-3.24, 1 Hg 3.07
13 Hg 0.8845 0.1155 0.2500  2 Zn 2.72, 1 In 3.01
14 Hg 0.9414 0.4022 0.6667  1 Zn 2.78



[6]
This record from the Alexandria database describes a geometry-optimized Zn2InHg2 structure. The functional is PBE-GGA.

## Properties
Electronic total energy, eV per cell: -5.40
ΔH_f (0 K), meV per atom: 98
DOS at the Fermi energy, states/eV/f.u.: 2.0

Cell lengths 7.4149, 7.4149, 7.4149 Å; angles 148.12, 148.12, 45.70 degrees
Closest atoms and distances in Å follow each position.
Element x y z (fractional)
1 Zn 0.2500 0.7500 0.5000  4 Hg 2.80, 4 Zn 2.88
2 Zn 0.7500 0.2500 0.5000  4 Hg 2.80, 4 Zn 2.88
3 In 0.0000 0.0000 0.0000  8 Hg 3.24
4 Hg 0.3911 0.3911 0.0000  4 Zn 2.80, 1 Hg 2.98
5 Hg 0.6089 0.6089 0.0000  4 Zn 2.80, 1 Hg 2.98



[7]
This record from the Alexandria database describes a geometry-optimized ZnIn3Hg5 structure. The functional is PBE-GGA.

## Properties
Electronic total energy, eV per cell: -21.31
ΔH_f (0 K), meV per atom: 38
DOS at the Fermi energy, states/eV/f.u.: 2.0

Cell lengths 9.0736, 9.0736, 6.4759 Å; angles 90.00, 90.00, 120.00 degrees
Closest atoms and distances in Å follow each position.
Element x y z (fractional)
1 Zn 0.0000 0.0000 0.0000  6 Hg 2.88
2 Zn 0.0000 0.0000 0.5000  6 Hg 2.88
3 In 0.0000 0.3915 0.2500  9 Hg 3.13-3.44
4 In 0.0000 0.6085 0.7500  9 Hg 3.13-3.44
5 In 0.3915 0.0000 0.2500  9 Hg 3.13-3.44
6 In 0.3915 0.3915 0.7500  9 Hg 3.13-3.44
7 In 0.6085 0.0000 0.7500  9 Hg 3.13-3.44
8 In 0.6085 0.6085 0.2500  9 Hg 3.13-3.44
9 Hg 0.0000 0.2630 0.7500  2 Zn 2.88, 3 In 3.13-3.14
10 Hg 0.0000 0.7370 0.2500  2 Zn 2.88, 3 In 3.13-3.14
11 Hg 0.2630 0.0000 0.7500  2 Zn 2.88, 3 In 3.13-3.14
12 Hg 0.2630 0.2630 0.2500  2 Zn 2.88, 3 In 3.13-3.14
13 Hg 0.3333 0.6667 0.0000  6 In 3.23, 2 Hg 3.24
14 Hg 0.3333 0.6667 0.5000  6 In 3.23, 2 Hg 3.24
15 Hg 0.6667 0.3333 0.0000  6 In 3.23, 2 Hg 3.24
16 Hg 0.6667 0.3333 0.5000  6 In 3.23, 2 Hg 3.24
17 Hg 0.7370 0.0000 0.2500  2 Zn 2.88, 3 In 3.13-3.14
18 Hg 0.7370 0.7370 0.7500  2 Zn 2.88, 3 In 3.13-3.14



[8]
This record from the Alexandria database describes a geometry-optimized ZnInHg2 structure. The functional is PBE-GGA.

## Properties
Electronic total energy, eV per cell: -8.80
ΔH_f (0 K), meV per atom: 55
DOS at the Fermi energy, states/eV/f.u.: 0.8

Cell lengths 9.4184, 4.6824, 9.6682 Å; angles 72.85, 28.36, 78.78 degrees
Closest atoms and distances in Å follow each position.
Element x y z (fractional)
1 Zn 0.0000 0.0000 0.5000  4 Hg 2.87, 2 Zn 2.93
2 Zn 0.5000 0.5000 0.0000  4 Hg 2.87, 2 Zn 2.93
3 In 0.1271 0.3734 0.6266  4 Hg 2.99-3.06, 4 Zn 3.26
4 In 0.3734 0.1271 0.8729  4 Hg 2.99-3.06, 4 Zn 3.26
5 Hg 0.5437 0.9616 0.4563  5 Hg 2.99-3.20, 2 In 3.06
6 Hg 0.5931 0.9073 0.0927  4 Zn 2.87, 2 In 2.99, 2 Hg 3.20
7 Hg 0.9073 0.5931 0.4069  4 Zn 2.87, 2 In 2.99, 2 Hg 3.20
8 Hg 0.9616 0.5437 0.0384  5 Hg 2.99-3.20, 2 In 3.06



[9]
This record from the Alexandria database describes a geometry-optimized ZnInHg2 structure. The functional is PBE-GGA.

## Properties
Electronic total energy, eV per cell: -4.33
ΔH_f (0 K), meV per atom: 70
DOS at the Fermi energy, states/eV/f.u.: 1.6

Cell lengths 8.7149, 8.7149, 8.7149 Å; angles 24.19, 24.19, 24.19 degrees
Closest atoms and distances in Å follow each position.
Element x y z (fractional)
1 Zn 0.0000 0.0000 0.0000  6 Hg 2.82-2.84
2 In 0.1680 0.1680 0.1680  6 Hg 3.13-3.17
3 Hg 0.4081 0.4081 0.4081  3 Zn 2.84, 3 In 3.17
4 Hg 0.5926 0.5926 0.5926  3 Zn 2.82, 3 In 3.13



[10]
This record from the Alexandria database describes a geometry-optimized ZnIn5Hg7 structure. The functional is PBE-GGA.

## Properties
Electronic total energy, eV per cell: -16.38
ΔH_f (0 K), meV per atom: 54
DOS at the Fermi energy, states/eV/f.u.: 5.1

Cell lengths 8.0338, 8.0338, 8.0338 Å; angles 131.79, 105.41, 93.89 degrees
Closest atoms and distances in Å follow each position.
Element x y z (fractional)
1 Zn 0.0000 0.0000 0.0000  3 Hg 2.78-2.94, 4 In 2.81
2 In 0.2796 0.3241 0.4795  1 Zn 2.81, 1 In 3.12
3 In 0.2796 0.8001 0.9554  1 Zn 2.81, 1 In 3.12
4 In 0.5430 0.0430 0.5000  5 Hg 3.05-3.32, 4 In 3.25
5 In 0.8447 0.3241 0.0446  1 Zn 2.81, 1 In 3.12
6 In 0.8447 0.8001 0.5205  1 Zn 2.81, 1 In 3.12
7 Hg 0.2652 0.7652 0.5000  1 In 3.05, 4 Hg 3.18-3.28
8 Hg 0.2684 0.2684 0.0000  1 Zn 2.94, 3 Hg 3.01-3.28
9 Hg 0.5429 0.5429 0.0000  3 Hg 3.01-3.30, 6 In 3.17-3.28
10 Hg 0.6241 0.8000 0.8241  1 Zn 2.78
11 Hg 0.6454 0.3089 0.3365  4 Hg 3.18-3.31, 5 In 3.23-3.41
12 Hg 0.9724 0.3089 0.6635  4 Hg 3.18-3.31, 5 In 3.23-3.41
13 Hg 0.9760 0.8000 0.1759  1 Zn 2.78



[11]
This record from the Alexandria database describes a geometry-optimized ZnIn2Hg structure. The functional is PBE-GGA.

## Properties
Electronic total energy, eV per cell: -6.77
ΔH_f (0 K), meV per atom: 71
DOS at the Fermi energy, states/eV/f.u.: 2.0

Cell lengths 3.4590, 3.4590, 8.0460 Å; angles 90.00, 90.00, 95.17 degrees
Closest atoms and distances in Å follow each position.
Element x y z (fractional)
1 Zn 0.0000 0.0000 0.0000  8 In 2.94-3.12
2 In 0.5000 0.5000 0.2220  4 Zn 2.94-3.12, 2 Hg 3.23
3 In 0.5000 0.5000 0.7780  4 Zn 2.94-3.12, 2 Hg 3.23
4 Hg 0.0000 0.0000 0.5000  8 In 3.23-3.40, 4 Hg 3.46



[12]
This record from the Alexandria database describes a geometry-optimized ZnIn4Hg5 structure. The functional is PBE-GGA.

## Properties
Electronic total energy, eV per cell: -26.51
ΔH_f (0 K), meV per atom: 48
DOS at the Fermi energy, states/eV/f.u.: 3.9

Cell lengths 11.8428, 12.8664, 3.4192 Å; angles 90.00, 90.00, 90.00 degrees
Closest atoms and distances in Å follow each position.
Element x y z (fractional)
1 Zn 0.2500 0.2500 0.1631  6 In 2.78-2.93
2 Zn 0.7500 0.7500 0.8369  6 In 2.78-2.93
3 In 0.0528 0.2500 0.6800  2 Zn 2.86-2.93, 4 Hg 3.08-3.17
4 In 0.2500 0.0373 0.3076  1 Zn 2.78, 2 Hg 3.08
5 In 0.2500 0.4627 0.3076  1 Zn 2.78, 2 Hg 3.08
6 In 0.4472 0.2500 0.6800  2 Zn 2.86-2.93, 4 Hg 3.08-3.17
7 In 0.5528 0.7500 0.3200  2 Zn 2.86-2.93, 4 Hg 3.08-3.17
8 In 0.7500 0.5373 0.6924  1 Zn 2.78, 2 Hg 3.08
9 In 0.7500 0.9627 0.6924  1 Zn 2.78, 2 Hg 3.08
10 In 0.9472 0.7500 0.3200  2 Zn 2.86-2.93, 4 Hg 3.08-3.17
11 Hg 0.0761 0.5852 0.7943  4 In 3.08-3.17, 5 Hg 3.17-3.44
12 Hg 0.0761 0.9148 0.7943  4 In 3.08-3.17, 5 Hg 3.17-3.44
13 Hg 0.2500 0.7500 0.2790  10 Hg 3.39-3.44, 4 In 3.59-3.70
14 Hg 0.4239 0.5852 0.7943  4 In 3.08-3.17, 5 Hg 3.17-3.44
15 Hg 0.4239 0.9148 0.7943  4 In 3.08-3.17, 5 Hg 3.17-3.44
16 Hg 0.5761 0.0852 0.2057  4 In 3.08-3.17, 5 Hg 3.17-3.44
17 Hg 0.5761 0.4148 0.2057  4 In 3.08-3.17, 5 Hg 3.17-3.44
18 Hg 0.7500 0.2500 0.7210  10 Hg 3.39-3.44, 4 In 3.59-3.70
19 Hg 0.9239 0.0852 0.2057  4 In 3.08-3.17, 5 Hg 3.17-3.44
20 Hg 0.9239 0.4148 0.2057  4 In 3.08-3.17, 5 Hg 3.17-3.44